## Nb2CoO (GGA+U)

Data for Nb2CoO after structural relaxation.

abc: 4.891 4.891 10.723
angles: 90.00 90.00 90.00
Space group I-42d (No. 122)
One atom of each set of equivalent atoms:
1 Nb 0.204 0.250 0.125
2 Co 0.000 0.000 0.500
3 O 0.000 0.000 0.000

Summary:
ρ in g/cm3: 6.75
Calculated total energy in eV per atom: -7.794